1.
Computed, not measured: a relaxed HPtCl3 crystal at the PBE-GGA level of DFT.

- Theoretical density: 4.428 g cm⁻³
- Total magnetic moment: 0.6 Bohr magnetons per cell
- E: -13.15 eV/cell
- Space-group type: Pm-3m

Lattice parameters (Å, degrees): 4.841 4.841 4.841 90.00 90.00 90.00
Positions (direct):
H: 0.000 0.000 0.000
Pt: 0.500 0.500 0.500
Cl: 0.000 0.500 0.500
Cl: 0.500 0.000 0.500
Cl: 0.500 0.500 0.000

2.
Computed, not measured: a relaxed HPt3Cl crystal at the PBE-GGA level of DFT.

- Theoretical density: 14.863 g cm⁻³
- Total magnetic moment: 0.0 Bohr magnetons per cell
- E: -20.21 eV/cell
- Space-group type: Pm-3m

Lattice parameters (Å, degrees): 4.111 4.111 4.111 90.00 90.00 90.00
Positions (direct):
H: 0.000 0.000 0.000
Pt: 0.000 0.000 0.500
Pt: 0.000 0.500 0.000
Pt: 0.500 0.000 0.000
Cl: 0.500 0.500 0.500

Number 1: E above lowest polymorph 0 kJ/mol of formula units. Number 2: E above lowest polymorph 0 kJ/mol of formula units.